# 1
The following is a DFT calculation (PBE-GGA) of a relaxed Ca2LaBe crystal.

Unit cell a=5.5147 b=5.5147 c=5.5147 alpha=60.00 beta=60.00 gamma=60.00
Closest atoms and distances in Å follow each position.
Positions (direct):
Be (0.5000, 0.5000, 0.5000)  4 La 3.38, 4 Ca 3.38
Ca (0.0000, 0.0000, 0.0000)  4 La 3.38, 4 Ca 3.38
Ca (0.2500, 0.2500, 0.2500)  4 Be 3.38, 4 Ca 3.38
La (0.7500, 0.7500, 0.7500)  4 Be 3.38, 4 Ca 3.38

Computed properties:
Density of states at the Fermi level in states/eV/f.u.: 4.20
Calculated total energy in Ry per atom: -0.2046
V in Å³ per atom: 29.65

# 2
The following is a DFT calculation (PBE-GGA) of a relaxed MnCo2Si crystal.

Unit cell a=7.8969 b=7.8969 c=7.8969 alpha=18.62 beta=18.62 gamma=18.62
Closest atoms and distances in Å follow each position.
Positions (direct):
Co (0.0036, 0.0036, 0.0036)  3 Si 2.35, 9 Co 2.52-2.56
Co (0.2490, 0.2490, 0.2490)  3 Mn 2.44, 9 Co 2.52-2.56
Mn (0.4988, 0.4988, 0.4988)  3 Si 2.44, 3 Co 2.44, 6 Mn 2.56
Si (0.7486, 0.7486, 0.7486)  3 Co 2.35, 3 Mn 2.44, 6 Si 2.56

Computed properties:
Density of states at the Fermi level in states/eV/f.u.: 4.28
V in Å³ per atom: 10.97
Formation energy from raw total energies in eV per formula unit: -0.2

# 3
The following is a DFT calculation (PBE-GGA) of a relaxed CaPm3Nd6Sm2 crystal.

Unit cell a=6.3842 b=6.3842 c=12.1391 alpha=95.01 beta=95.01 gamma=120.03
Closest atoms and distances in Å follow each position.
Positions (direct):
Ca (0.0000, 0.0000, 0.0000)  6 Sm 3.68-3.69, 6 Nd 3.71
Pm (0.1662, 0.8338, 0.5000)  6 Nd 3.63-3.67, 6 Pm 3.68-3.69
Pm (0.8338, 0.1662, 0.5000)  6 Nd 3.63-3.67, 6 Pm 3.68-3.69
Pm (0.5000, 0.5000, 0.5000)  6 Nd 3.62-3.66, 6 Pm 3.68-3.69
Nd (0.9150, 0.5756, 0.7483)  3 Pm 3.63-3.67, 6 Nd 3.65-3.75, 2 Sm 3.67, 1 Ca 3.71
Nd (0.7457, 0.7457, 0.2525)  3 Pm 3.62-3.65, 6 Nd 3.65-3.75, 2 Sm 3.69, 1 Ca 3.71
Nd (0.0850, 0.4244, 0.2517)  3 Pm 3.63-3.67, 6 Nd 3.65-3.75, 2 Sm 3.67, 1 Ca 3.71
Nd (0.5756, 0.9150, 0.7483)  3 Pm 3.63-3.67, 6 Nd 3.65-3.75, 2 Sm 3.67, 1 Ca 3.71
Nd (0.2543, 0.2543, 0.7475)  3 Pm 3.62-3.65, 6 Nd 3.65-3.75, 2 Sm 3.69, 1 Ca 3.71
Nd (0.4244, 0.0850, 0.2517)  3 Pm 3.63-3.67, 6 Nd 3.65-3.75, 2 Sm 3.67, 1 Ca 3.71
Sm (0.3330, 0.6670, 0.0000)  6 Nd 3.67-3.69, 3 Sm 3.68-3.69, 3 Ca 3.68-3.69
Sm (0.6670, 0.3330, 0.0000)  6 Nd 3.67-3.69, 3 Sm 3.68-3.69, 3 Ca 3.68-3.69

Computed properties:
Density of states at the Fermi level in states/eV/f.u.: 16.22
Calculated total energy in Ry per atom: -0.3304
V in Å³ per atom: 35.15

# 4
The following is a DFT calculation (PBE-GGA) of a relaxed Nd2Sm5Ho3 crystal.

Unit cell a=6.8642 b=12.4124 c=12.4124 alpha=44.72 beta=73.95 gamma=73.95
Closest atoms and distances in Å follow each position.
Positions (direct):
Nd (0.1228, 0.7769, 0.9776)  1 Sm 2.90
Nd (0.8772, 0.2231, 0.0224)  1 Sm 2.90
Nd (0.6228, 0.9776, 0.7769)  1 Sm 2.90
Nd (0.3772, 0.0224, 0.2231)  1 Sm 2.90
Sm (0.2500, 0.5000, 0.5000)  6 Sm 3.37-3.43
Sm (0.7500, 0.5000, 0.5000)  6 Sm 3.37-3.43
Sm (0.4988, 0.7512, 0.7512)  4 Sm 3.35-3.43, 2 Nd 3.39
Sm (0.0012, 0.2488, 0.2488)  4 Sm 3.35-3.43, 2 Nd 3.39
Sm (0.5012, 0.2488, 0.2488)  4 Sm 3.35-3.43, 2 Nd 3.39
Sm (0.9988, 0.7512, 0.7512)  4 Sm 3.35-3.43, 2 Nd 3.39
Sm (0.1260, 0.4669, 0.2810)  1 Nd 2.90
Sm (0.8740, 0.5331, 0.7190)  1 Nd 2.90
Sm (0.6260, 0.2810, 0.4669)  1 Nd 2.90
Sm (0.3740, 0.7190, 0.5331)  1 Nd 2.90
Ho (0.2500, 0.0000, 0.0000)  4 Nd 3.33, 2 Ho 3.43
Ho (0.7500, 0.0000, 0.0000)  4 Nd 3.33, 2 Ho 3.43
Ho (0.3787, 0.3696, 0.8729)  1 Sm 3.26, 1 Nd 3.29
Ho (0.6213, 0.6304, 0.1271)  1 Sm 3.26, 1 Nd 3.29
Ho (0.8787, 0.8729, 0.3696)  1 Sm 3.26, 1 Nd 3.29
Ho (0.1213, 0.1271, 0.6304)  1 Sm 3.26, 1 Nd 3.29

Computed properties:
Density of states at the Fermi level in states/eV/f.u.: 14.46
Offset from the most stable computed form in eV per atom: 0.191
V in Å³ per atom: 35.51

# 5
The following is a DFT calculation (PBE-GGA) of a relaxed Nd6GaCu5 crystal.

Unit cell a=5.0941 b=7.2588 c=8.0565 alpha=90.00 beta=108.26 gamma=90.00
Closest atoms and distances in Å follow each position.
Positions (direct):
Nd (0.8314, 0.7495, 0.6619)  7 Cu 3.10-3.20, 1 Ga 3.16
Nd (0.8314, 0.2505, 0.6619)  7 Cu 3.10-3.20, 1 Ga 3.16
Nd (0.5000, 0.2572, 0.0000)  6 Cu 3.06-3.10, 2 Ga 3.16
Nd (0.5000, 0.7428, 0.0000)  6 Cu 3.06-3.10, 2 Ga 3.16
Nd (0.1686, 0.7495, 0.3381)  7 Cu 3.10-3.20, 1 Ga 3.16
Nd (0.1686, 0.2505, 0.3381)  7 Cu 3.10-3.20, 1 Ga 3.16
Cu (0.6659, 0.5000, 0.3329)  8 Nd 3.10-3.13
Cu (0.3433, 0.0000, 0.6830)  8 Nd 3.06-3.20
Cu (0.0000, 0.5000, 0.0000)  8 Nd 3.10-3.16
Cu (0.6567, 0.0000, 0.3170)  8 Nd 3.06-3.20
Cu (0.3341, 0.5000, 0.6671)  8 Nd 3.10-3.13
Ga (0.0000, 0.0000, 0.0000)  8 Nd 3.16, 4 Cu 3.52

Computed properties:
Density of states at the Fermi level in states/eV/f.u.: 9.89
Calculated total energy in Ry per atom: -0.3344
V in Å³ per atom: 23.58

# 6
The following is a DFT calculation (PBE-GGA) of a relaxed LiGa2Ni6 crystal.

Unit cell a=2.5611 b=6.8766 c=7.1972 alpha=118.54 beta=99.91 gamma=90.00
Closest atoms and distances in Å follow each position.
Positions (direct):
Li (0.0000, 0.0000, 0.0000)  8 Ni 2.43-2.50, 2 Li 2.56
Ga (0.6700, 0.6700, 0.3399)  8 Ni 2.46-2.47, 2 Ga 2.56
Ga (0.3300, 0.3300, 0.6601)  8 Ni 2.46-2.47, 2 Ga 2.56
Ni (0.1639, 0.3590, 0.3276)  1 Li 2.43, 3 Ga 2.46, 7 Ni 2.53-2.68
Ni (0.8361, 0.0313, 0.6724)  1 Li 2.43, 3 Ga 2.46, 7 Ni 2.53-2.68
Ni (0.8361, 0.6410, 0.6724)  1 Li 2.43, 3 Ga 2.46, 7 Ni 2.53-2.68
Ni (0.5000, 0.3128, 0.0000)  2 Ga 2.47, 2 Li 2.50, 7 Ni 2.53-2.58
Ni (0.1639, 0.9687, 0.3276)  1 Li 2.43, 3 Ga 2.46, 7 Ni 2.53-2.68
Ni (0.5000, 0.6872, 0.0000)  2 Ga 2.47, 2 Li 2.50, 7 Ni 2.53-2.58

Computed properties:
Density of states at the Fermi level in states/eV/f.u.: 9.30
Calculated total energy in Ry per atom: -0.3530
V in Å³ per atom: 12.13